A geometry-optimized DyYNO structure, computed with PBE.

Calculated values
volume: 14.44 Å³/atom
N(E_F): 0.251 states/eV/atom
total energy: -8.441 eV per atom
uncorrected formation energy: -2.354 eV per atom

a = 5.995 Å, b = 5.995 Å, c = 5.995 Å
α = 33.28°, β = 33.28°, γ = 33.28°
Positions (direct):
Dy: 0.000 0.000 0.000
Y: 0.507 0.507 0.507
N: 0.254 0.254 0.254
O: 0.753 0.753 0.753

A geometry-optimized Dy3Os5N12 structure, computed with PBE.

Calculated values
volume: 12.78 Å³/atom
N(E_F): 0.383 states/eV/atom
total energy: -8.699 eV per atom
uncorrected formation energy: -0.206 eV per atom

a = 10.993 Å, b = 10.993 Å, c = 10.993 Å
α = 109.47°, β = 109.47°, γ = 109.47°
Positions (direct):
Dy: 0.125 0.250 0.375
Dy: 0.125 0.375 0.750
Dy: 0.250 0.375 0.125
Dy: 0.250 0.875 0.625
Dy: 0.375 0.125 0.250
Dy: 0.375 0.750 0.125
Dy: 0.625 0.250 0.875
Dy: 0.625 0.875 0.750
Dy: 0.750 0.125 0.375
Dy: 0.750 0.625 0.875
Dy: 0.875 0.625 0.250
Dy: 0.875 0.750 0.625
Os: 0.000 0.000 0.000
Os: 0.000 0.000 0.500
Os: 0.000 0.500 0.000
Os: 0.000 0.500 0.500
Os: 0.125 0.750 0.875
Os: 0.125 0.875 0.250
Os: 0.250 0.125 0.875
Os: 0.250 0.625 0.375
Os: 0.375 0.250 0.625
Os: 0.375 0.625 0.750
Os: 0.500 0.000 0.000
Os: 0.500 0.000 0.500
Os: 0.500 0.500 0.000
Os: 0.500 0.500 0.500
Os: 0.625 0.375 0.250
Os: 0.625 0.750 0.375
Os: 0.750 0.375 0.625
Os: 0.750 0.875 0.125
Os: 0.875 0.125 0.750
Os: 0.875 0.250 0.125
N: 0.017 0.198 0.119
N: 0.017 0.320 0.899
N: 0.079 0.698 0.680
N: 0.079 0.881 0.399
N: 0.101 0.619 0.421
N: 0.101 0.983 0.680
N: 0.119 0.017 0.198
N: 0.119 0.601 0.921
N: 0.180 0.198 0.579
N: 0.180 0.483 0.601
N: 0.198 0.119 0.017
N: 0.198 0.579 0.180
N: 0.302 0.320 0.921
N: 0.302 0.483 0.381
N: 0.320 0.899 0.017
N: 0.320 0.921 0.302
N: 0.381 0.302 0.483
N: 0.381 0.579 0.899
N: 0.399 0.079 0.881
N: 0.399 0.820 0.517
N: 0.421 0.101 0.619
N: 0.421 0.820 0.802
N: 0.483 0.381 0.302
N: 0.483 0.601 0.180
N: 0.517 0.399 0.820
N: 0.517 0.619 0.698
N: 0.579 0.180 0.198
N: 0.579 0.899 0.381
N: 0.601 0.180 0.483
N: 0.601 0.921 0.119
N: 0.619 0.421 0.101
N: 0.619 0.698 0.517
N: 0.680 0.079 0.698
N: 0.680 0.101 0.983
N: 0.698 0.517 0.619
N: 0.698 0.680 0.079
N: 0.802 0.421 0.820
N: 0.802 0.881 0.983
N: 0.820 0.517 0.399
N: 0.820 0.802 0.421
N: 0.881 0.399 0.079
N: 0.881 0.983 0.802
N: 0.899 0.017 0.320
N: 0.899 0.381 0.579
N: 0.921 0.119 0.601
N: 0.921 0.302 0.320
N: 0.983 0.680 0.101
N: 0.983 0.802 0.881

A geometry-optimized PrDy2OsN4 structure, computed with PBE.

Calculated values
volume: 14.84 Å³/atom
N(E_F): 0.328 states/eV/atom
total energy: -8.262 eV per atom
uncorrected formation energy: -0.948 eV per atom

a = 6.129 Å, b = 6.129 Å, c = 11.689 Å
α = 90.00°, β = 90.00°, γ = 147.27°
Positions (direct):
Pr: 0.118 0.882 0.750
Pr: 0.882 0.118 0.250
Dy: 0.369 0.631 0.541
Dy: 0.369 0.631 0.959
Dy: 0.631 0.369 0.041
Dy: 0.631 0.369 0.459
Os: 0.145 0.855 0.250
Os: 0.855 0.145 0.750
N: 0.000 0.000 0.000
N: 0.000 0.000 0.500
N: 0.266 0.734 0.127
N: 0.266 0.734 0.373
N: 0.439 0.561 0.750
N: 0.561 0.439 0.250
N: 0.734 0.266 0.627
N: 0.734 0.266 0.873

A geometry-optimized Dy2PuOsN4 structure, computed with PBE.

Calculated values
volume: 14.06 Å³/atom
N(E_F): 0.929 states/eV/atom
total energy: -9.400 eV per atom
uncorrected formation energy: -0.892 eV per atom

a = 6.060 Å, b = 6.060 Å, c = 11.605 Å
α = 90.00°, β = 90.00°, γ = 148.14°
Positions (direct):
Dy: 0.130 0.870 0.544
Dy: 0.130 0.870 0.956
Dy: 0.870 0.130 0.044
Dy: 0.870 0.130 0.456
Pu: 0.384 0.616 0.750
Pu: 0.616 0.384 0.250
Os: 0.356 0.644 0.250
Os: 0.644 0.356 0.750
N: 0.037 0.963 0.750
N: 0.227 0.773 0.133
N: 0.227 0.773 0.367
N: 0.500 0.500 0.000
N: 0.500 0.500 0.500
N: 0.773 0.227 0.633
N: 0.773 0.227 0.867
N: 0.963 0.037 0.250

A geometry-optimized SmDy2OsN4 structure, computed with PBE.

Calculated values
volume: 14.57 Å³/atom
N(E_F): 0.307 states/eV/atom
total energy: -8.267 eV per atom
uncorrected formation energy: -0.960 eV per atom

a = 6.085 Å, b = 6.085 Å, c = 11.676 Å
α = 90.00°, β = 90.00°, γ = 147.37°
Positions (direct):
Sm: 0.124 0.876 0.750
Sm: 0.876 0.124 0.250
Dy: 0.369 0.631 0.541
Dy: 0.369 0.631 0.959
Dy: 0.631 0.369 0.041
Dy: 0.631 0.369 0.459
Os: 0.140 0.860 0.250
Os: 0.860 0.140 0.750
N: 0.000 0.000 0.000
N: 0.000 0.000 0.500
N: 0.268 0.732 0.130
N: 0.268 0.732 0.370
N: 0.444 0.556 0.750
N: 0.556 0.444 0.250
N: 0.732 0.268 0.630
N: 0.732 0.268 0.870

A geometry-optimized Sm2DyOsN4 structure, computed with PBE.

Calculated values
volume: 15.15 Å³/atom
N(E_F): 0.172 states/eV/atom
total energy: -8.166 eV per atom
uncorrected formation energy: -0.845 eV per atom

a = 6.146 Å, b = 6.146 Å, c = 11.991 Å
α = 90.00°, β = 90.00°, γ = 147.65°
Positions (direct):
Sm: 0.132 0.868 0.541
Sm: 0.132 0.868 0.959
Sm: 0.868 0.132 0.041
Sm: 0.868 0.132 0.459
Dy: 0.370 0.630 0.750
Dy: 0.630 0.370 0.250
Os: 0.361 0.639 0.250
Os: 0.639 0.361 0.750
N: 0.057 0.943 0.750
N: 0.228 0.772 0.137
N: 0.228 0.772 0.363
N: 0.500 0.500 0.000
N: 0.500 0.500 0.500
N: 0.772 0.228 0.637
N: 0.772 0.228 0.863
N: 0.943 0.057 0.250

A geometry-optimized SrDy2OsN4 structure, computed with PBE.

Calculated values
volume: 15.82 Å³/atom
N(E_F): 0.319 states/eV/atom
total energy: -7.794 eV per atom
uncorrected formation energy: -0.867 eV per atom

a = 6.242 Å, b = 6.242 Å, c = 12.117 Å
α = 90.00°, β = 90.00°, γ = 147.59°
Positions (direct):
Sr: 0.071 0.929 0.750
Sr: 0.929 0.071 0.250
Dy: 0.370 0.630 0.542
Dy: 0.370 0.630 0.958
Dy: 0.630 0.370 0.042
Dy: 0.630 0.370 0.458
Os: 0.189 0.811 0.250
Os: 0.811 0.189 0.750
N: 0.000 0.000 0.000
N: 0.000 0.000 0.500
N: 0.258 0.742 0.109
N: 0.258 0.742 0.391
N: 0.396 0.604 0.750
N: 0.604 0.396 0.250
N: 0.742 0.258 0.609
N: 0.742 0.258 0.891

A geometry-optimized Tb2DyOsN4 structure, computed with PBE.

Calculated values
volume: 14.48 Å³/atom
N(E_F): 0.219 states/eV/atom
total energy: -8.241 eV per atom
uncorrected formation energy: -0.942 eV per atom

a = 6.061 Å, b = 6.061 Å, c = 11.736 Å
α = 90.00°, β = 90.00°, γ = 147.51°
Positions (direct):
Tb: 0.132 0.868 0.541
Tb: 0.132 0.868 0.959
Tb: 0.868 0.132 0.041
Tb: 0.868 0.132 0.459
Dy: 0.370 0.630 0.750
Dy: 0.630 0.370 0.250
Os: 0.364 0.636 0.250
Os: 0.636 0.364 0.750
N: 0.051 0.949 0.750
N: 0.231 0.769 0.133
N: 0.231 0.769 0.367
N: 0.500 0.500 0.000
N: 0.500 0.500 0.500
N: 0.769 0.231 0.633
N: 0.769 0.231 0.867
N: 0.949 0.051 0.250

A geometry-optimized Dy2PN4 structure, computed with PBE.

Calculated values
volume: 13.51 Å³/atom
N(E_F): 0.699 states/eV/atom
total energy: -7.926 eV per atom
uncorrected formation energy: -1.081 eV per atom

a = 7.875 Å, b = 6.880 Å, c = 5.844 Å
α = 75.98°, β = 57.96°, γ = 46.06°
Positions (direct):
Dy: 0.062 0.688 0.062
Dy: 0.312 0.938 0.312
Dy: 0.688 0.062 0.688
Dy: 0.938 0.312 0.938
P: 0.375 0.375 0.375
P: 0.625 0.625 0.625
N: 0.177 0.706 0.363
N: 0.255 0.363 0.706
N: 0.294 0.823 0.745
N: 0.363 0.255 0.177
N: 0.637 0.745 0.823
N: 0.706 0.177 0.255
N: 0.745 0.637 0.294
N: 0.823 0.294 0.637

A geometry-optimized DyPN2 structure, computed with PBE.

Calculated values
volume: 15.74 Å³/atom
total energy: -7.694 eV per atom
uncorrected formation energy: -1.029 eV per atom
excess energy over the best structure of this formula in the dataset: 0.000 eV per atom

a = 3.608 Å, b = 5.713 Å, c = 6.108 Å
α = 90.00°, β = 90.17°, γ = 90.00°
Positions (direct):
Dy: 0.250 0.250 0.146
Dy: 0.750 0.750 0.854
P: 0.250 0.250 0.653
P: 0.750 0.750 0.347
N: 0.249 0.018 0.801
N: 0.249 0.482 0.801
N: 0.751 0.518 0.199
N: 0.751 0.982 0.199

A geometry-optimized Dy2PN structure, computed with PBE.

Calculated values
volume: 18.81 Å³/atom
N(E_F): 0.080 states/eV/atom
total energy: -6.950 eV per atom
uncorrected formation energy: -1.215 eV per atom
excess energy over the best structure of this formula in the dataset: 0.000 eV per atom

a = 6.883 Å, b = 6.883 Å, c = 6.883 Å
α = 30.67°, β = 30.67°, γ = 30.67°
Positions (direct):
Dy: 0.000 0.000 0.000
Dy: 0.152 0.152 0.152
P: 0.575 0.575 0.575
N: 0.405 0.405 0.405

A geometry-optimized Dy2PN structure, computed with PBE.

Calculated values
volume: 18.59 Å³/atom
N(E_F): 0.080 states/eV/atom
total energy: -6.547 eV per atom
uncorrected formation energy: -0.812 eV per atom
excess energy over the best structure of this formula in the dataset: 0.403 eV per atom

a = 4.449 Å, b = 4.449 Å, c = 4.449 Å
α = 69.27°, β = 69.27°, γ = 69.27°
Positions (direct):
Dy: 0.227 0.227 0.227
Dy: 0.773 0.773 0.773
P: 0.500 0.500 0.500
N: 0.000 0.000 0.000